Record 1
Compound: HoPaZn2
Source: Alexandria
Functional: PBE
Structure: relaxed

Summary:
size of the total moment	0.000	μB/atom
formation enthalpy at 0 K	32	meV/atom
theoretical density	9.62	g/cm3
DOS(E_F)	16.71	states/eV per cell
calculated total energy	-4.1232	eV per atom
energy above the most stable polymorph in this dataset	148	meV/atom

Cell lengths 3.3051, 3.3051, 28.8320 Å; angles 90.00, 90.00, 120.00 degrees
Space group R-3m (No. 166, hexagonal axes)
One atom of each set of equivalent atoms:
Ho1 0.0000 0.0000 0.0000
Pa1 0.0000 0.0000 0.5000
Zn1 0.0000 0.0000 0.2518

---

Record 2
Compound: Pa2BeV
Source: Alexandria
Functional: PBE
Structure: relaxed

Summary:
size of the total moment	0.000	μB/atom
formation enthalpy at 0 K	757	meV/atom
theoretical density	10.73	g/cm3
DOS(E_F)	15.38	states/eV per cell
calculated total energy	-7.2021	eV per atom

Cell lengths 2.9684, 2.9684, 31.7614 Å; angles 90.00, 90.00, 120.00 degrees
Space group R-3m (No. 166, hexagonal axes)
One atom of each set of equivalent atoms:
Pa1 0.0000 0.0000 0.0892
Be1 0.0000 0.0000 0.0000
V1 0.0000 0.0000 0.5000

---

Record 3
Compound: NaEuYCd
Source: Alexandria
Functional: PBE
Structure: relaxed

Summary:
size of the total moment	1.828	μB/atom
formation enthalpy at 0 K	-9	meV/atom
theoretical density	5.13	g/cm3
DOS(E_F)	34.14	states/eV per cell
calculated total energy	-4.7524	eV per atom

Cell lengths 7.8678, 7.8678, 7.8678 Å; angles 90.00, 90.00, 90.00 degrees
Space group F-43m (No. 216)
One atom of each set of equivalent atoms:
Na1 0.0000 0.0000 0.0000
Eu1 0.2500 0.2500 0.2500
Y1 0.2500 0.2500 0.7500
Cd1 0.0000 0.0000 0.5000

---

Record 4
Compound: Ti2Te4Pd
Source: Alexandria
Functional: PBE
Structure: relaxed

Summary:
formation energy (no corrections)	-0.624	eV per atom
size of the total moment	0.000	μB/atom
theoretical density	6.95	g/cm3
DOS(E_F)	8.26	states/eV per cell
calculated total energy	-5.4166	eV per atom

Cell lengths 14.4537, 3.8616, 6.8473 Å; angles 90.00, 116.99, 90.00 degrees
Space group C2/m (No. 12)
One atom of each set of equivalent atoms:
Ti1 0.2475 0.0000 0.2809
Te1 0.1130 0.0000 0.4594
Te2 0.1335 0.5000 0.9646
Pd1 0.0000 0.0000 0.0000

---

Record 5
Compound: Ba12CaAg6
Source: Alexandria
Functional: PBE
Structure: relaxed

Summary:
size of the total moment	0.000	μB/atom
formation enthalpy at 0 K	-155	meV/atom
theoretical density	4.34	g/cm3
DOS(E_F)	40.49	states/eV per cell
calculated total energy	-2.3753	eV per atom

Cell lengths 12.1343, 12.1343, 12.1343 Å; angles 90.00, 90.00, 90.00 degrees
Space group Im-3 (No. 204)
One atom of each set of equivalent atoms:
Ba1 0.0000 0.3076 0.1832
Ca1 0.0000 0.0000 0.0000
Ag1 0.0000 0.1177 0.5000

---

Record 6
Compound: CePrNd2Er
Source: Alexandria
Functional: PBE
Structure: relaxed

Summary:
size of the total moment	0.153	μB/atom
formation enthalpy at 0 K	271	meV/atom
theoretical density	7.18	g/cm3
DOS(E_F)	20.09	states/eV per cell
calculated total energy	-4.6916	eV per atom

Cell lengths 8.5254, 6.3905, 6.2596 Å; angles 90.00, 90.62, 90.00 degrees
Space group P2/c (No. 13)
One atom of each set of equivalent atoms:
Ce1 0.0000 0.0436 0.2500
Pr1 0.0000 0.5000 0.0000
Nd1 0.3083 0.1930 0.7469
Er1 0.5000 0.3258 0.2500

---

Record 7
Compound: ThTl2HgI6
Source: Alexandria
Functional: PBE
Structure: relaxed

Summary:
formation energy (no corrections)	-0.874	eV per atom
size of the total moment	0.000	μB/atom
theoretical density	5.02	g/cm3
DOS(E_F)	0.00	states/eV per cell
calculated total energy	-3.0492	eV per atom

Cell lengths 8.7073, 8.7101, 9.5016 Å; angles 62.77, 62.78, 60.10 degrees
Space group P1 (No. 1)
One atom of each set of equivalent atoms:
Th1 0.0000 0.0000 0.0000
Tl1 0.1823 0.1817 0.4545
Tl2 0.6585 0.6583 0.0240
Hg1 0.4968 0.4964 0.5104
I1 0.0363 0.8129 0.7718
I2 0.2089 0.6290 0.2169
I3 0.3789 0.0363 0.7724
I4 0.6283 0.9456 0.2159
I5 0.8137 0.3784 0.7716
I6 0.9452 0.2097 0.2167

---

Record 8
Compound: LaZr2Nb2
Source: Alexandria
Functional: PBE
Structure: relaxed

Summary:
size of the total moment	0.000	μB/atom
formation enthalpy at 0 K	291	meV/atom
theoretical density	7.03	g/cm3
DOS(E_F)	17.18	states/eV per cell
calculated total energy	-8.1419	eV per atom

Cell lengths 8.2930, 8.2930, 3.4818 Å; angles 90.00, 90.00, 90.00 degrees
Space group P4/mbm (No. 127)
One atom of each set of equivalent atoms:
La1 0.0000 0.0000 0.0000
Zr1 0.1420 0.3580 0.5000
Nb1 0.1387 0.6387 0.0000

---

Record 9
Compound: ZrScW4
Source: Alexandria
Functional: PBE
Structure: relaxed

Summary:
size of the total moment	0.000	μB/atom
formation enthalpy at 0 K	-68	meV/atom
theoretical density	12.97	g/cm3
DOS(E_F)	15.83	states/eV per cell
calculated total energy	-11.1831	eV per atom

Cell lengths 7.6417, 7.6417, 7.6417 Å; angles 90.00, 90.00, 90.00 degrees
Space group F-43m (No. 216)
One atom of each set of equivalent atoms:
Zr1 0.0000 0.0000 0.0000
Sc1 0.2500 0.2500 0.2500
W1 0.1247 0.1247 0.6247

---

Record 10
Compound: Pr2ZrSn
Source: Alexandria
Functional: PBE
Structure: relaxed

Summary:
size of the total moment	0.000	μB/atom
formation enthalpy at 0 K	-292	meV/atom
theoretical density	7.32	g/cm3
DOS(E_F)	3.86	states/eV per cell
calculated total energy	-5.8192	eV per atom

Cell lengths 4.8042, 4.8042, 4.8341 Å; angles 90.00, 90.00, 90.00 degrees
Space group P4/mmm (No. 123)
One atom of each set of equivalent atoms:
Pr1 0.0000 0.5000 0.0000
Zr1 0.0000 0.0000 0.5000
Sn1 0.5000 0.5000 0.5000

---

Record 11
Compound: UO4
Source: Alexandria
Functional: PBE
Structure: relaxed

Summary:
formation energy (no corrections)	-1.976	eV per atom
size of the total moment	0.000	μB/atom
theoretical density	5.56	g/cm3
DOS(E_F)	8.71	states/eV per cell
calculated total energy	-8.2000	eV per atom
energy above the most stable polymorph in this dataset	0	meV/atom

Cell lengths 5.8665, 5.9461, 6.0056 Å; angles 90.00, 120.54, 90.00 degrees
Space group P2_1/c (No. 14)
One atom of each set of equivalent atoms:
U1 0.0000 0.0000 0.0000
O1 0.0203 0.2502 0.2598
O2 0.3625 0.5155 0.6807

---

Record 12
Compound: Tm2Cu5Ni5
Source: Alexandria
Functional: PBE
Structure: relaxed

Summary:
size of the total moment	0.000	μB/atom
formation enthalpy at 0 K	-283	meV/atom
theoretical density	9.40	g/cm3
DOS(E_F)	8.54	states/eV per cell
calculated total energy	-5.1436	eV per atom
energy above the most stable polymorph in this dataset	10	meV/atom

Cell lengths 3.9771, 4.9450, 8.5207 Å; angles 90.00, 90.00, 90.00 degrees
Space group Pmmm (No. 47)
One atom of each set of equivalent atoms:
Tm1 0.0000 0.0000 0.0000
Tm2 0.0000 0.5000 0.5000
Cu1 0.0000 0.0000 0.3299
Cu2 0.0000 0.5000 0.1674
Cu3 0.5000 0.0000 0.5000
Ni1 0.5000 0.2505 0.2482
Ni2 0.5000 0.5000 0.0000

---

Record 13
Compound: HgI
Source: Alexandria
Functional: PBE
Structure: relaxed

Summary:
formation energy (no corrections)	-0.093	eV per atom
size of the total moment	0.000	μB/atom
theoretical density	6.62	g/cm3
DOS(E_F)	6.56	states/eV per cell
calculated total energy	-1.0194	eV per atom
energy above the most stable polymorph in this dataset	149	meV/atom

Cell lengths 11.9249, 4.5390, 9.1021 Å; angles 90.00, 90.00, 90.00 degrees
Space group Pmn2_1 (No. 31)
One atom of each set of equivalent atoms:
Hg1 0.0000 0.1677 0.0000
Hg2 0.1642 0.0515 0.7723
I1 0.0000 0.8922 0.5466
I2 0.1775 0.4647 0.2230

---

Record 14
Compound: Nd3GeBr7
Source: Alexandria
Functional: PBE
Structure: relaxed

Summary:
formation energy (no corrections)	-1.444	eV per atom
size of the total moment	0.182	μB/atom
theoretical density	3.97	g/cm3
DOS(E_F)	5.92	states/eV per cell
calculated total energy	-4.2287	eV per atom

Cell lengths 8.7585, 8.7585, 6.6995 Å; angles 90.00, 90.00, 120.00 degrees
Space group P3m1 (No. 156)
One atom of each set of equivalent atoms:
Nd1 0.0073 0.5036 0.0000
Ge1 0.3333 0.6667 0.7469
Br1 0.1784 0.3569 0.2465
Br2 0.3495 0.1748 0.7744
Br3 0.6667 0.3333 0.2478

---

Record 15
Compound: SiPbCl2
Source: Alexandria
Functional: PBE
Structure: relaxed

Summary:
formation energy (no corrections)	0.042	eV per atom
size of the total moment	0.000	μB/atom
theoretical density	5.39	g/cm3
DOS(E_F)	4.61	states/eV per cell
calculated total energy	-3.1641	eV per atom
energy above the most stable polymorph in this dataset	425	meV/atom

Cell lengths 6.4416, 8.7763, 3.3392 Å; angles 90.00, 90.00, 90.00 degrees
Space group Cmmm (No. 65)
One atom of each set of equivalent atoms:
Si1 0.0000 0.0000 0.0000
Pb1 0.0000 0.5000 0.0000
Cl1 0.2500 0.2500 0.5000

---

Record 16
Compound: Na2GaI
Source: Alexandria
Functional: PBE
Structure: relaxed

Summary:
formation energy (no corrections)	-0.293	eV per atom
size of the total moment	0.000	μB/atom
theoretical density	3.14	g/cm3
DOS(E_F)	0.96	states/eV per cell
calculated total energy	-2.0969	eV per atom
energy above the most stable polymorph in this dataset	0	meV/atom

Cell lengths 8.4987, 8.4987, 7.0973 Å; angles 90.00, 90.00, 90.00 degrees
Space group I-42d (No. 122)
One atom of each set of equivalent atoms:
Na1 0.2474 0.7500 0.1250
Ga1 0.0000 0.0000 0.5000
I1 0.0000 0.0000 0.0000

---

Record 17
Compound: Nd3Al8Pd3
Source: Alexandria
Functional: PBE
Structure: relaxed

Summary:
size of the total moment	0.000	μB/atom
formation enthalpy at 0 K	-675	meV/atom
theoretical density	5.81	g/cm3
DOS(E_F)	12.56	states/eV per cell
calculated total energy	-4.9477	eV per atom

Cell lengths 4.4024, 10.0293, 12.5396 Å; angles 90.00, 90.00, 90.00 degrees
Space group Immm (No. 71)
One atom of each set of equivalent atoms:
Nd1 0.0000 0.0000 0.0000
Nd2 0.0000 0.0000 0.3119
Al1 0.0000 0.2832 0.1206
Al2 0.0000 0.3637 0.3354
Pd1 0.0000 0.2147 0.5000
Pd2 0.0000 0.5000 0.0000

---

Record 18
Compound: Ac2SmPuSe5
Source: Alexandria
Functional: PBE
Structure: relaxed

Summary:
formation energy (no corrections)	-1.353	eV per atom
size of the total moment	0.737	μB/atom
theoretical density	6.73	g/cm3
DOS(E_F)	17.66	states/eV per cell
calculated total energy	-6.3188	eV per atom

Cell lengths 5.2453, 5.2453, 11.1534 Å; angles 90.00, 90.00, 90.00 degrees
Space group P4/mmm (No. 123)
One atom of each set of equivalent atoms:
Ac1 0.0000 0.0000 0.2162
Sm1 0.5000 0.5000 0.0000
Pu1 0.5000 0.5000 0.5000
Se1 0.0000 0.0000 0.5000
Se2 0.0000 0.5000 0.0000
Se3 0.5000 0.5000 0.2537

---

Record 19
Compound: Be4GeRh5
Source: Alexandria
Functional: PBE
Structure: relaxed

Summary:
size of the total moment	0.000	μB/atom
formation enthalpy at 0 K	-584	meV/atom
theoretical density	8.97	g/cm3
DOS(E_F)	4.55	states/eV per cell
calculated total energy	-6.2119	eV per atom

Cell lengths 2.8568, 2.8568, 14.1441 Å; angles 90.00, 90.00, 90.00 degrees
Space group P4/mmm (No. 123)
One atom of each set of equivalent atoms:
Be1 0.0000 0.0000 0.0959
Be2 0.0000 0.0000 0.2812
Ge1 0.0000 0.0000 0.5000
Rh1 0.5000 0.5000 0.0000
Rh2 0.5000 0.5000 0.1937
Rh3 0.5000 0.5000 0.3910

---

Record 20
Compound: TmTh3In4
Source: Alexandria
Functional: PBE
Structure: relaxed

Summary:
size of the total moment	0.000	μB/atom
formation enthalpy at 0 K	-235	meV/atom
theoretical density	9.76	g/cm3
DOS(E_F)	17.79	states/eV per cell
calculated total energy	-4.9453	eV per atom
energy above the most stable polymorph in this dataset	86	meV/atom

Cell lengths 9.7075, 6.8322, 6.7952 Å; angles 90.00, 90.00, 90.00 degrees
Space group Pmna (No. 53)
One atom of each set of equivalent atoms:
Tm1 0.0000 0.0000 0.0000
Th1 0.0000 0.5000 0.0000
Th2 0.2500 0.2624 0.2500
In1 0.0000 0.0000 0.5000
In2 0.0000 0.5000 0.5000
In3 0.2500 0.2379 0.7500